! PaFe2CoO8, optimized geometry, DFT GGA+U; values from VASP
! magnetization: 10.0 μB per cell
! SG: I-4m2 (119)
! DFT total energy: -6.96 eV/atom
&SYSTEM
  ibrav = 0, nat = 12, ntyp = 4
/
ATOMIC_SPECIES
Pa 231.04 Pa.upf
Fe 55.84 Fe.upf
Co 58.93 Co.upf
O 16.00 O.upf
CELL_PARAMETERS angstrom
-3.447 3.447 3.261
3.447 -3.447 3.261
3.447 3.447 -3.261
ATOMIC_POSITIONS crystal
Pa 0.000 0.000 0.000
Fe 0.500 0.500 0.000
Fe 0.750 0.250 0.500
Co 0.250 0.750 0.500
O 0.314 0.130 0.815
O 0.314 0.499 0.185
O 0.360 0.051 0.309
O 0.501 0.686 0.815
O 0.742 0.051 0.691
O 0.870 0.686 0.185
O 0.949 0.258 0.309
O 0.949 0.640 0.691